1.
A plane-wave DFT calculation with GGA-PBE was carried out for a geometry-optimized Li2HfGa9 structure.

The space group is P4/mmm (No. 123) and the conventional cell measures 4.038, 4.038 and 12.438 Å, with angles of 90.00, 90.00 and 90.00 degrees. The asymmetric unit holds Li at (0.000, 0.000, 0.168), Hf at (0.000, 0.000, 0.500), Ga at (0.000, 0.500, 0.000), Ga at (0.000, 0.500, 0.327), Ga at (0.500, 0.500, 0.168) and Ga at (0.500, 0.500, 0.500).

As for the energy relative to the elements: -0.24 eV per atom. The crystal system is tetragonal. The volume is 16.9 Å³/atom.


2.
A plane-wave DFT calculation with GGA-PBE was carried out for a geometry-optimized LiHfGa structure.

The space group is C2/m (No. 12) and the conventional cell measures 10.590, 3.199 and 7.722 Å, with angles of 90.00, 123.86 and 90.00 degrees. The asymmetric unit holds Li at (0.157, 0.000, 0.041), Hf at (0.101, 0.500, 0.345) and Ga at (0.137, 0.000, 0.679).

As for the energy relative to the elements: -0.19 eV per atom. The crystal system is monoclinic. The volume is 18.1 Å³/atom. The value obtained for the energy above the lowest structure with this stoichiometry is 0.34 eV per formula unit.


3.
A plane-wave DFT calculation with GGA-PBE was carried out for a geometry-optimized LiHfGa structure.

The space group is P4/nmm (No. 129, origin choice 2) and the conventional cell measures 3.809, 3.809 and 6.990 Å, with angles of 90.00, 90.00 and 90.00 degrees. The asymmetric unit holds Li at (0.250, 0.250, 0.229), Hf at (0.250, 0.250, 0.638) and Ga at (0.250, 0.750, 0.000).

As for the energy relative to the elements: -0.01 eV per atom. The crystal system is tetragonal. The volume is 16.9 Å³/atom. The value obtained for the energy above the lowest structure with this stoichiometry is 0.90 eV per formula unit.


| no. | DOS(E_F) (states/eV per cell) | energy (eV per cell) | magnetization (μB per formula unit) |
| --- | --- | --- | --- |
| 1 | 3.41 | -43.86 | 0.000 |
| 2 | 8.57 | -61.90 | 0.000 |
| 3 | 4.31 | -29.83 | 0.000 |